# 1
First-principles (PBE-GGA) data for a geometry-optimized Bi5PdAu structure, as listed in the Alexandria database.

The structure in POSCAR format:
```
Bi5PdAu
1.0
-1.5737 4.2918 7.4975
-3.6355 -3.3946 7.2366
4.0277 -1.4068 9.6172
Pd Bi Au
2 10 2
Cartesian
-1.5853 0.1430 9.7729
0.4038 -0.6527 14.5784
-3.6607 0.2280 11.6440
2.4791 -0.7377 12.7072
0.2860 -0.7027 7.8759
-0.8720 2.8022 9.8632
-0.3095 -3.3119 14.4881
-1.0357 1.2376 13.1407
0.2753 -2.0859 17.8603
-1.4675 0.1931 16.4753
-1.4568 1.5763 6.4909
-0.1458 -1.7473 11.2106
0.0000 0.0000 0.0000
2.0138 -0.7034 4.8086
```

The mass density comes out at 9.92 Mg/m³. Its space group is C2/c (15). The value obtained for the formation energy is 40 meV per atom.

# 2
First-principles (PBE-GGA) data for a geometry-optimized Bi2Pd3Au2 structure, as listed in the Alexandria database.

The structure in POSCAR format:
```
Bi2Pd3Au2
1.0
-0.6144 -2.2386 -3.7919
4.6973 -0.1493 1.9402
-4.2422 -3.5644 5.4679
Bi Au Pd
2 2 3
Cartesian
-0.5546 -3.2304 4.6619
0.3953 -2.7220 -1.0458
-1.3192 -2.1379 1.5052
1.1599 -3.8144 2.1109
2.4455 -1.7048 0.6343
0.0000 0.0000 0.0000
-2.6048 -4.2476 2.9818
```

The mass density comes out at 13.60 Mg/m³. Its space group is P-1 (2). The value obtained for the formation energy is -175 meV per atom. The value obtained for the excess energy over the best structure of this formula in the dataset is 0.00 kJ/mol of atoms.

# 3
First-principles (PBE-GGA) data for a geometry-optimized Bi2Pd2Au structure, as listed in the Alexandria database.

The structure in POSCAR format:
```
Bi2Pd2Au
1.0
-5.7871 3.2823 -4.5046
-0.5985 -6.8221 -4.2020
-2.3801 -1.1559 2.2156
Pd Bi Au
4 4 2
Cartesian
-3.4266 -0.2164 -1.1062
-2.2980 -4.4372 -2.0958
-6.4678 -0.2584 -4.3952
-5.3392 -4.4792 -5.3849
-1.1716 -1.7123 -2.1519
-3.9671 1.0461 -3.7161
-2.4185 -4.5858 -4.9906
-5.2141 -1.8275 -6.5547
-3.1928 -1.7699 -4.3533
0.0000 0.0000 0.0000
```

The mass density comes out at 12.34 Mg/m³. Its space group is P4/mbm (127). The value obtained for the formation energy is -67 meV per atom. The value obtained for the excess energy over the best structure of this formula in the dataset is 13.11 kJ/mol of atoms.

# 4
First-principles (PBE-GGA) data for a geometry-optimized BiPd7Au3 structure, as listed in the Alexandria database.

The structure in POSCAR format:
```
BiPd7Au3
1.0
5.1743 0.1248 0.1598
-2.1779 6.2593 0.3260
-2.1779 -1.2012 6.1516
Bi Pd Au
1 7 3
Cartesian
0.4093 2.5914 3.3187
0.5462 5.4028 2.9637
0.2724 3.6174 0.6773
0.5461 1.5655 5.9601
0.2724 -0.2199 3.6736
-2.1779 2.5290 3.2388
-0.6569 1.0706 1.3711
1.4755 4.1122 5.2663
-2.1779 0.3902 4.9089
2.5872 0.0624 0.0799
-2.1779 4.6678 1.5687
```

The mass density comes out at 12.49 Mg/m³. Its space group is C2/m (12). The value obtained for the formation energy is 77 meV per atom.

# 5
First-principles (PBE-GGA) data for a geometry-optimized BiPd12Au3 structure, as listed in the Alexandria database.

The structure in POSCAR format:
```
BiPd12Au3
1.0
4.0428 0.0000 0.0000
0.0000 4.0428 0.0000
0.0000 0.0000 16.0764
Pd Au Bi
12 3 1
Cartesian
2.0214 2.0214 0.0000
0.0000 2.0214 2.0946
2.0214 0.0000 13.9818
2.0214 0.0000 10.0086
0.0000 2.0214 6.0678
0.0000 2.0214 10.0086
2.0214 0.0000 2.0946
2.0214 0.0000 6.0678
2.0214 2.0214 11.9833
2.0214 2.0214 4.0931
0.0000 2.0214 13.9818
2.0214 2.0214 8.0382
0.0000 0.0000 11.9843
0.0000 0.0000 8.0382
0.0000 0.0000 4.0921
0.0000 0.0000 0.0000
```

The mass density comes out at 13.13 Mg/m³. Its space group is P4/mmm (123). The value obtained for the formation energy is -98 meV per atom.

# 6
First-principles (PBE-GGA) data for a geometry-optimized BiPd2Au structure, as listed in the Alexandria database.

The structure in POSCAR format:
```
BiPd2Au
1.0
-3.9187 0.0460 2.3953
-4.0176 -0.5422 -2.1588
-2.3463 -4.6750 0.6548
Pd Au Bi
2 1 1
Cartesian
-2.4028 -3.8225 0.5459
-2.5868 -1.0494 0.1917
-5.1255 -2.8236 0.4760
-7.6549 -4.7363 0.7780
```

The mass density comes out at 12.34 Mg/m³. Its space group is R3m (160). The value obtained for the formation energy is -35 meV per atom.

# 7
First-principles (PBE-GGA) data for a geometry-optimized BiPd4Au structure, as listed in the Alexandria database.

The structure in POSCAR format:
```
BiPd4Au
1.0
5.3641 0.0000 0.0000
2.6821 4.6455 0.0000
2.6821 1.5485 4.3798
Bi Pd Au
1 4 1
Cartesian
2.6821 1.5485 1.0949
6.7085 3.8732 2.7387
4.0197 3.8732 2.7387
5.3641 3.0970 0.5433
5.3641 1.5446 2.7387
0.0000 0.0000 0.0000
```

The mass density comes out at 12.65 Mg/m³. Its space group is F-43m (216). The value obtained for the formation energy is -43 meV per atom. The value obtained for the excess energy over the best structure of this formula in the dataset is 13.40 kJ/mol of atoms.

# 8
First-principles (PBE-GGA) data for a geometry-optimized BiPdAu2 structure, as listed in the Alexandria database.

The structure in POSCAR format:
```
BiPdAu2
1.0
-4.1033 2.3431 0.3366
-0.7738 -0.5170 -5.8335
-2.7652 -4.9584 0.8063
Bi Pd Au
2 2 4
Cartesian
-4.1421 -2.1418 -2.2517
-1.0616 -1.9035 0.3095
-1.1771 -1.6754 -2.6863
-4.0267 -2.3700 0.7442
-2.9374 -4.6148 -3.6850
-2.6525 0.3113 -1.1684
-2.5513 -4.3567 -0.7737
-3.0401 0.0523 -4.0907
```

The mass density comes out at 14.68 Mg/m³. Its space group is Pmmn (59). The value obtained for the formation energy is -111 meV per atom.

# 9
First-principles (PBE-GGA) data for a geometry-optimized Bi2Pd3Au2 structure, as listed in the Alexandria database.

The structure in POSCAR format:
```
Bi2Pd3Au2
1.0
4.0969 -0.0056 -0.0138
-2.0407 4.5585 -0.0177
-0.0398 -0.6528 8.0327
Pd Bi Au
3 2 2
Cartesian
2.0533 1.8657 0.9612
0.0000 0.0000 0.0000
-0.0369 2.0345 7.0400
2.0053 2.9409 5.2302
0.0111 0.9593 2.7710
2.0049 0.2349 6.2846
0.0115 3.6653 1.7165
```

The mass density comes out at 12.53 Mg/m³. Its space group is P-1 (2). The value obtained for the formation energy is -113 meV per atom. The value obtained for the excess energy over the best structure of this formula in the dataset is 6.01 kJ/mol of atoms.

# 10
First-principles (PBE-GGA) data for a geometry-optimized BiPd3Au4 structure, as listed in the Alexandria database.

The structure in POSCAR format:
```
BiPd3Au4
1.0
-1.3909 -3.0332 -2.5136
3.8996 -1.2170 -0.6893
-5.6146 -1.8966 8.8671
Bi Au Pd
1 4 3
Cartesian
-0.6954 -1.5166 -1.2568
-0.1248 -1.4101 1.7707
-4.2357 -2.6094 5.4925
-2.9810 -4.7367 3.8935
1.1299 -3.5374 0.1717
1.9498 -0.6085 -0.3446
-2.1806 -2.0071 3.6286
-0.9252 -4.1397 2.0356
```

The mass density comes out at 15.00 Mg/m³. Its space group is C2/m (12). The value obtained for the formation energy is -85 meV per atom. The value obtained for the excess energy over the best structure of this formula in the dataset is 0.00 kJ/mol of atoms.

# 11
First-principles (PBE-GGA) data for a geometry-optimized Bi6Pd2Au structure, as listed in the Alexandria database.

The structure in POSCAR format:
```
Bi6Pd2Au
1.0
7.3212 0.0000 0.1782
0.0000 6.6957 0.0000
-0.6789 0.0000 9.8365
Bi Pd Au
12 4 2
Cartesian
2.2088 5.6785 1.0409
0.6099 6.4803 7.6906
1.0337 2.1344 0.6060
5.5299 4.3651 6.0483
6.0324 0.2154 2.3241
4.3549 1.2134 5.6134
5.6086 4.5613 9.4088
4.4335 1.0172 8.9738
1.1124 2.3306 3.9664
4.6099 3.5632 2.8615
2.2874 5.4823 4.4014
2.0324 3.1325 7.1533
6.6606 2.3357 7.7901
-0.0183 4.3601 2.2247
3.3394 1.0122 2.7827
3.3029 5.6835 7.2321
-0.3394 0.0000 4.9183
3.6606 3.3479 0.0891
```

The mass density comes out at 11.44 Mg/m³. Its space group is P2_1/c (14). The value obtained for the formation energy is -118 meV per atom.

# 12
First-principles (PBE-GGA) data for a geometry-optimized BiPd2Au structure, as listed in the Alexandria database.

The structure in POSCAR format:
```
BiPd2Au
1.0
7.5097 0.0000 0.0000
0.0000 7.5097 0.0000
3.7549 3.7549 2.8695
Pd Au Bi
4 2 2
Cartesian
9.3872 9.3881 2.1522
5.6333 1.8774 0.7174
5.6323 5.6313 2.1522
1.8765 5.6323 0.7174
3.7549 7.5097 1.4348
3.7549 3.7549 0.0000
0.0000 0.0000 0.0000
7.5097 3.7549 1.4348
```

The mass density comes out at 12.70 Mg/m³. Its space group is I-42d (122). The value obtained for the formation energy is -21 meV per atom.

# 13
First-principles (PBE-GGA) data for a geometry-optimized BiPd2Au structure, as listed in the Alexandria database.

The structure in POSCAR format:
```
BiPd2Au
1.0
3.5286 0.0000 0.0000
0.0000 3.5286 0.0000
0.0000 0.0000 6.0822
Pd Au Bi
2 1 1
Cartesian
0.0000 0.0000 1.4619
0.0000 0.0000 4.6202
1.7643 1.7643 0.0000
1.7643 1.7643 3.0411
```

The mass density comes out at 13.57 Mg/m³. Its space group is P4/mmm (123). The value obtained for the formation energy is -188 meV per atom.

# 14
First-principles (PBE-GGA) data for a geometry-optimized BiPd4Au3 structure, as listed in the Alexandria database.

The structure in POSCAR format:
```
BiPd4Au3
1.0
-3.0822 -4.8335 -2.3010
5.8657 1.4717 -1.2590
2.3067 0.5924 5.6997
Pd Bi Au
4 1 3
Cartesian
4.9313 0.9139 0.7200
0.4293 -2.2048 0.2349
6.1531 1.1608 3.7148
1.8685 0.0786 1.3867
3.8669 -0.1675 3.1816
-0.6393 -3.4963 2.8017
1.6477 -2.0068 3.1834
3.2890 -1.6021 -0.3711
```

The mass density comes out at 13.82 Mg/m³. Its space group is Imm2 (44). The value obtained for the formation energy is -14 meV per atom. The value obtained for the excess energy over the best structure of this formula in the dataset is 12.19 kJ/mol of atoms.

# 15
First-principles (PBE-GGA) data for a geometry-optimized Bi3Pd12Au structure, as listed in the Alexandria database.

The structure in POSCAR format:
```
Bi3Pd12Au
1.0
-3.8084 -0.4901 1.4470
1.2773 -3.1537 2.2936
3.3555 10.3252 12.3286
Pd Au Bi
12 1 3
Cartesian
1.8943 2.2869 5.7602
-1.2655 -1.8219 1.8703
0.1957 6.2163 8.4386
1.0475 8.8374 11.5683
2.7385 4.8846 8.8619
1.2423 5.8949 11.0844
3.5903 7.5056 11.9915
-0.4178 0.7864 4.9847
0.4123 3.3407 8.0346
-0.6485 3.6187 5.3370
-1.5003 0.9976 2.2073
1.0425 -0.3341 2.6306
0.0000 0.0000 0.0000
1.6778 5.1626 6.1643
2.5578 7.8704 9.3974
0.7978 2.4548 2.9311
```

The mass density comes out at 12.61 Mg/m³. Its space group is P4/mmm (123). The value obtained for the formation energy is -216 meV per atom.

# 16
First-principles (PBE-GGA) data for a geometry-optimized BiPdAu3 structure, as listed in the Alexandria database.

The structure in POSCAR format:
```
BiPdAu3
1.0
-3.1586 -1.9454 -3.3856
2.1167 -4.5124 0.6180
-3.2812 -1.0383 3.6578
Bi Au Pd
1 3 1
Cartesian
-2.1616 -3.7480 0.4451
-1.5793 -0.9727 -1.6928
1.0584 -2.2562 0.3090
-1.6406 -0.5191 1.8289
0.0000 0.0000 0.0000
```

The mass density comes out at 11.88 Mg/m³. Its space group is Pm-3m (221). The value obtained for the formation energy is 558 meV per atom. The value obtained for the excess energy over the best structure of this formula in the dataset is 0.00 kJ/mol of atoms.

# 17
First-principles (PBE-GGA) data for a geometry-optimized BiPd5Au4 structure, as listed in the Alexandria database.

The structure in POSCAR format:
```
BiPd5Au4
1.0
3.4293 0.0000 0.0000
0.0000 3.4293 0.0000
0.0000 0.0000 15.0030
Au Bi Pd
4 1 5
Cartesian
0.0000 0.0000 11.8525
0.0000 0.0000 3.1504
0.0000 0.0000 8.9551
0.0000 0.0000 6.0479
0.0000 0.0000 0.0000
1.7147 1.7147 4.5803
1.7147 1.7147 7.5015
1.7147 1.7147 10.4226
1.7147 1.7147 1.6191
1.7147 1.7147 13.3839
```

The mass density comes out at 14.39 Mg/m³. Its space group is P4/mmm (123). The value obtained for the formation energy is -106 meV per atom.

# 18
First-principles (PBE-GGA) data for a geometry-optimized Bi2PdAu structure, as listed in the Alexandria database.

The structure in POSCAR format:
```
Bi2PdAu
1.0
-1.6836 1.9538 2.4391
-3.0504 -1.6296 -0.8002
1.4487 -5.2795 5.2292
Bi Pd Au
2 1 1
Cartesian
-1.9018 -1.5332 2.4986
1.3589 -4.9522 4.9050
0.7573 -2.7597 2.7334
-1.3266 -3.6294 4.5748
```

The mass density comes out at 12.56 Mg/m³. Its space group is P4mm (99). The value obtained for the formation energy is -124 meV per atom.

# 19
First-principles (PBE-GGA) data for a geometry-optimized BiPd4Au5 structure, as listed in the Alexandria database.

The structure in POSCAR format:
```
BiPd4Au5
1.0
0.2528 3.7082 -2.1759
-0.4126 -3.5277 -6.0599
-6.1042 0.5223 4.4434
Bi Au Pd
1 5 4
Cartesian
-5.9778 2.3764 3.3554
-6.1841 0.6125 0.3254
-3.8955 0.7018 -3.5190
-2.3684 0.0010 -0.2735
-4.0602 2.1263 -1.1104
-2.2037 -1.4236 -2.6821
-2.3882 -0.5888 -5.5433
-3.8757 1.2915 1.7508
-0.6074 -2.6700 -4.6208
-5.6566 3.3728 0.8283
```

The mass density comes out at 14.29 Mg/m³. Its space group is C2/m (12). The value obtained for the formation energy is -51 meV per atom.

# 20
First-principles (PBE-GGA) data for a geometry-optimized BiPd3Au2 structure, as listed in the Alexandria database.

The structure in POSCAR format:
```
BiPd3Au2
1.0
-2.6056 2.1248 2.2058
-2.4717 -3.4114 0.3664
4.3370 0.0260 5.0983
Au Bi Pd
2 1 3
Cartesian
2.0294 -1.0992 3.4562
-0.1641 -2.2862 2.0084
0.0000 0.0000 0.0000
-2.5387 -0.6433 1.2861
-0.2598 0.4974 2.8792
-0.4806 -1.7581 4.7911
```

The mass density comes out at 14.18 Mg/m³. Its space group is Cmmm (65). The value obtained for the formation energy is -161 meV per atom. The value obtained for the excess energy over the best structure of this formula in the dataset is 0.68 kJ/mol of atoms.

# 21
First-principles (PBE-GGA) data for a geometry-optimized Bi2Pd9Au structure, as listed in the Alexandria database.

The structure in POSCAR format:
```
Bi2Pd9Au
1.0
4.0913 0.0000 0.0000
0.0000 4.0913 0.0000
0.0000 0.0000 12.2800
Pd Bi Au
9 2 1
Cartesian
2.0456 2.0456 8.1571
0.0000 2.0456 1.9833
0.0000 2.0456 10.2967
2.0456 2.0456 4.1229
0.0000 2.0456 6.1400
2.0456 0.0000 6.1400
2.0456 0.0000 10.2967
2.0456 0.0000 1.9833
2.0456 2.0456 0.0000
0.0000 0.0000 8.3163
0.0000 0.0000 3.9637
0.0000 0.0000 0.0000
```

The mass density comes out at 12.71 Mg/m³. Its space group is P4/mmm (123). The value obtained for the formation energy is -202 meV per atom.

# 22
First-principles (PBE-GGA) data for a geometry-optimized BiPdAu2 structure, as listed in the Alexandria database.

The structure in POSCAR format:
```
BiPdAu2
1.0
7.8701 0.0000 0.0000
0.0000 7.8701 0.0000
3.9350 3.9350 2.7590
Au Bi Pd
4 2 2
Cartesian
9.8376 9.7106 2.0693
2.0945 5.9026 0.6898
5.9026 6.0296 2.0693
5.7756 1.9675 0.6898
0.0000 0.0000 0.0000
7.8701 3.9350 1.3795
3.9350 3.9350 0.0000
3.9350 7.8701 1.3795
```

The mass density comes out at 13.79 Mg/m³. Its space group is I-42d (122). The value obtained for the formation energy is 11 meV per atom.

# 23
First-principles (PBE-GGA) data for a geometry-optimized BiPd4Au structure, as listed in the Alexandria database.

The structure in POSCAR format:
```
BiPd4Au
1.0
-1.6679 4.5677 1.1237
-7.3326 -3.4929 3.3148
1.6282 0.9352 4.5872
Pd Bi Au
8 2 2
Cartesian
-4.1250 3.3946 2.2366
-2.0400 1.7067 1.1092
-3.2473 -1.3846 6.7891
-5.2726 -2.4299 5.0428
-2.0997 4.4400 3.9828
-4.9348 0.4121 5.0750
-5.3323 0.3034 7.9165
-2.4375 1.5980 3.9507
0.0000 0.0000 0.0000
-4.5002 0.5374 2.2193
-2.8522 -1.2788 3.9510
-0.0199 2.7515 2.8555
```

The mass density comes out at 13.22 Mg/m³. Its space group is C2/m (12). The value obtained for the formation energy is -182 meV per atom. The value obtained for the excess energy over the best structure of this formula in the dataset is 0.00 kJ/mol of atoms.